Record 1
TlSnPb, relaxed, DFT PBE-GGA; size of the total moment = 0.00 μB/atom; final energy = -10.03 eV for the cell shown; formation enthalpy at 0 K = 0.014 eV/atom; distance to the lowest polymorph of the same formula = 0 meV per atom; DOS at the Fermi energy = 1.23 states/eV/cell; space-group type = No. 107
1.0
-1.7533 -1.8404 2.4841
1.3252 -3.0275 -1.3076
5.8759 3.0039 3.8301
Tl Pb Sn
1 1 1
Direct
0.9952 0.9952 0.9905
0.6756 0.6756 0.3512
0.3292 0.3292 0.6583



Record 2
Tl2Sn3Pb8, relaxed, DFT PBE-GGA; size of the total moment = 0.00 μB/atom; final energy = -44.35 eV for the cell shown; formation enthalpy at 0 K = 0.158 eV/atom; distance to the lowest polymorph of the same formula = 94 meV per atom; DOS at the Fermi energy = 8.59 states/eV/cell; space-group type = No. 12
1.0
7.1135 0.0000 0.3113
0.0000 9.0971 0.0000
-2.5660 -4.5485 6.9051
Pb Sn Tl
8 3 2
Direct
0.6122 0.0619 0.7168
0.8036 0.2920 0.5839
0.6122 0.6549 0.7168
0.9786 0.1132 0.2263
0.0214 0.8868 0.7737
0.3878 0.9381 0.2832
0.1964 0.7080 0.4161
0.3878 0.3451 0.2832
0.0000 0.6738 0.0000
0.0000 0.3262 0.0000
0.5000 0.0000 0.0000
0.3110 0.3797 0.7594
0.6890 0.6203 0.2406



Record 3
Tl2Sn2Pb7, relaxed, DFT PBE-GGA; size of the total moment = 0.00 μB/atom; final energy = -37.99 eV for the cell shown; formation enthalpy at 0 K = 0.064 eV/atom; DOS at the Fermi energy = 5.59 states/eV/cell; space-group type = No. 12
1.0
9.2806 0.0219 0.0316
-0.8357 6.8384 -1.0050
-0.8357 -3.3424 6.0500
Pb Tl Sn
7 2 2
Direct
0.4106 0.2299 0.2299
0.0000 0.0000 0.0000
0.1753 0.9999 0.4358
0.8247 0.5642 0.0001
0.5894 0.7701 0.7701
0.8247 0.0001 0.5642
0.1753 0.4358 0.9999
0.7991 0.3832 0.3832
0.2009 0.6168 0.6168
0.5000 0.2237 0.7763
0.5000 0.7763 0.2237



Record 4
TlSn3Pb3, relaxed, DFT PBE-GGA; size of the total moment = 0.00 μB/atom; final energy = -46.73 eV for the cell shown; formation enthalpy at 0 K = 0.305 eV/atom; distance to the lowest polymorph of the same formula = 251 meV per atom; DOS at the Fermi energy = 7.34 states/eV/cell; space-group type = No. 223
1.0
8.3877 0.0000 0.0000
0.0000 8.3877 0.0000
0.0000 0.0000 8.3877
Pb Sn Tl
6 6 2
Direct
0.5000 0.0000 0.2500
0.7500 0.5000 0.0000
0.0000 0.7500 0.5000
0.0000 0.2500 0.5000
0.5000 0.0000 0.7500
0.2500 0.5000 0.0000
0.0000 0.5000 0.2500
0.5000 0.7500 0.0000
0.7500 0.0000 0.5000
0.2500 0.0000 0.5000
0.0000 0.5000 0.7500
0.5000 0.2500 0.0000
0.5000 0.5000 0.5000
0.0000 0.0000 0.0000